(1)
Density functional theory data (PBE) for a geometry-optimized ZrU3 structure.

Its energy is -10.23 eV per atom.

The structure belongs to space group I4/mmm (No. 139); the cell edges are 4.197, 4.197 and 9.796 Å and the angles 90.00°, 90.00° and 90.00°. The inequivalent atoms are Zr at (0.000, 0.000, 0.000), U at (0.000, 0.000, 0.500) and U at (0.000, 0.500, 0.250).

---

(2)
Density functional theory data (PBE) for a geometry-optimized Tb2Co3Sn5 structure.

Its energy is -5.45 eV per atom.

The structure belongs to space group Cmc2_1 (No. 36); the cell edges are 4.315, 26.069 and 7.105 Å and the angles 90.00°, 90.00° and 90.00°. The inequivalent atoms are Tb at (0.000, 0.026, 0.000), Tb at (0.000, 0.329, 0.980), Co at (0.000, 0.106, 0.256), Co at (0.000, 0.278, 0.474), Co at (0.000, 0.450, 0.220), Sn at (0.000, 0.093, 0.625), Sn at (0.000, 0.204, 0.187), Sn at (0.000, 0.212, 0.762), Sn at (0.000, 0.379, 0.496) and Sn at (0.000, 0.452, 0.834).

---

(3)
Density functional theory data (PBE) for a geometry-optimized Pm2AsN structure.

Its energy is -6.38 eV per atom. For the formation energy without anion corrections, the calculation gives -0.759 eV/atom.

The structure belongs to space group P4/mmm (No. 123); the cell edges are 3.222, 3.222 and 7.271 Å and the angles 90.00°, 90.00° and 90.00°. The inequivalent atoms are Pm at (0.000, 0.000, 0.205), As at (0.500, 0.500, 0.500) and N at (0.500, 0.500, 0.000).

---

Question: Number 1 is which compound?
Answer: ZrU3